Crystalline KBeCr2 at its relaxed geometry. Source: Alexandria, functional GGA-PBE.

a = 4.948 Å, b = 4.948 Å, c = 3.205 Å
α = 90.00°, β = 90.00°, γ = 90.00°
Sites, in units of the cell vectors:
K  0.000  0.000  0.000
Be  0.500  0.500  0.000
Cr  0.000  0.500  0.500
Cr  0.500  0.000  0.500

Computed properties:
E_form: 1514 meV/atom
SG: P4/mmm (123)

=====

Crystalline ReRhSe2 at its relaxed geometry. Source: Alexandria, functional GGA-PBE.

a = 7.972 Å, b = 7.972 Å, c = 7.972 Å
α = 22.38°, β = 22.38°, γ = 22.38°
Sites, in units of the cell vectors:
Re  0.000  0.000  0.000
Rh  0.500  0.500  0.500
Se  0.253  0.253  0.253
Se  0.747  0.747  0.747

Computed properties:
SG: R-3m (166)
Energy relative to the lowest polymorph listed for this composition: 168 meV/atom
Formation energy from raw total energies: 0.20 eV/atom

=====

Crystalline CuTe3Os at its relaxed geometry. Source: Alexandria, functional GGA-PBE.

a = 4.920 Å, b = 4.920 Å, c = 4.920 Å
α = 90.00°, β = 90.00°, γ = 90.00°
Sites, in units of the cell vectors:
Cu  0.000  0.000  0.000
Te  0.000  0.000  0.500
Te  0.000  0.500  0.000
Te  0.500  0.000  0.000
Os  0.500  0.500  0.500

Computed properties:
SG: Pm-3m (221)
Energy relative to the lowest polymorph listed for this composition: 384 meV/atom
Formation energy from raw total energies: 1.39 eV/atom

=====

| no. | V (Å³ per cell) | Fermi-level density of states (states/eV/cell) |
| --- | --- | --- |
| 1 | 78 | 2.539 |
| 2 | 64 | 2.952 |
| 3 | 119 | 3.893 |